The following is a GGA-PBE calculation of an optimized crystal structure of CdFe2Se, from Alexandria via LeMat-Bulk.

Formation energy from raw total energies ... 6.7 kcal/mol of atoms
VASP energy ... -5.042 eV per atom
Calculated density ... 6487 kg/m3

abc: 4.1868 3.0106 6.1549
angles: 90.00 90.08 90.00
With the nearest neighbours (Å) after each atom.
Atoms (fractional coordinates):
1 Cd 0.0000 0.0000 0.0000  8 Fe 2.83, 2 Cd 3.01
2 Fe 0.4995 0.5000 0.8093  1 Fe 2.35, 2 Se 2.43
3 Fe 0.5005 0.5000 0.1907  1 Fe 2.35, 2 Se 2.43
4 Se 0.5000 0.0000 0.5000  4 Fe 2.43

The following is a GGA-PBE calculation of an optimized crystal structure of YbPmAu2, from Alexandria via LeMat-Bulk.

E_form ... -0.86 eV/atom
VASP energy ... -4.067 eV per atom
Calculated density ... 12149 kg/m3

abc: 5.1630 5.1630 5.1630
angles: 60.00 60.00 60.00
With the nearest neighbours (Å) after each atom.
Atoms (fractional coordinates):
1 Yb 0.0000 0.0000 0.0000  8 Au 3.16
2 Pm 0.5000 0.5000 0.5000  8 Au 3.16
3 Au 0.2500 0.2500 0.2500  4 Pm 3.16, 4 Yb 3.16
4 Au 0.7500 0.7500 0.7500  4 Yb 3.16, 4 Pm 3.16

The following is a GGA-PBE calculation of an optimized crystal structure of Tb4Sm6Er, from Alexandria via LeMat-Bulk.

E above lowest polymorph ... 283 kJ/mol of formula units
E_form ... 0.39 eV/atom
VASP energy ... -4.285 eV per atom
Calculated density ... 7390 kg/m3

abc: 8.6076 8.6076 8.6076
angles: 128.16 128.16 76.37
With the nearest neighbours (Å) after each atom.
Atoms (fractional coordinates):
1 Tb 0.2531 0.2531 0.6655  3 Sm 3.00-3.22, 2 Tb 3.31
2 Tb 0.4124 0.7469 0.0000  3 Sm 3.00-3.22, 2 Tb 3.31
3 Tb 0.5876 0.5876 0.3345  3 Sm 3.00-3.22, 2 Tb 3.31
4 Tb 0.7469 0.4124 0.0000  3 Sm 3.00-3.22, 2 Tb 3.31
5 Sm 0.0000 0.5000 0.5000  4 Tb 3.00
6 Sm 0.0405 0.5848 0.0000  1 Tb 3.22, 1 Er 3.51
7 Sm 0.4152 0.4152 0.4556  1 Tb 3.22, 1 Er 3.51
8 Sm 0.5000 0.0000 0.5000  4 Tb 3.00
9 Sm 0.5848 0.0405 0.0000  1 Tb 3.22, 1 Er 3.51
10 Sm 0.9595 0.9595 0.5444  1 Tb 3.22, 1 Er 3.51
11 Er 0.0000 0.0000 0.0000  8 Sm 3.51-3.76, 4 Tb 3.70

The following is a GGA-PBE calculation of an optimized crystal structure of NbCo3H4, from Alexandria via LeMat-Bulk.

VASP energy ... -5.656 eV per atom
Calculated density ... 7981 kg/m3

abc: 4.6774 4.6774 4.6774
angles: 131.04 131.04 71.75
With the nearest neighbours (Å) after each atom.
Atoms (fractional coordinates):
1 Nb 0.0000 0.0000 0.0000  6 H 1.94-2.07
2 Co 0.2500 0.7500 0.5000  6 H 1.90-1.95
3 Co 0.5000 0.5000 0.0000  2 H 1.72
4 Co 0.7500 0.2500 0.5000  6 H 1.90-1.95
5 H 0.0000 0.5000 0.5000  4 Co 1.90-1.94, 2 Nb 1.94
6 H 0.2737 0.2737 0.0000  1 Co 1.72
7 H 0.5000 0.0000 0.5000  4 Co 1.90-1.94, 2 Nb 1.94
8 H 0.7263 0.7263 0.0000  1 Co 1.72

The following is a GGA-PBE calculation of an optimized crystal structure of Li2BeMo2, from Alexandria via LeMat-Bulk.

E above lowest polymorph ... 107 kJ/mol of formula units
E_form ... 0.87 eV/atom
VASP energy ... -4.975 eV per atom
Calculated density ... 4868 kg/m3

abc: 7.3903 7.3903 2.6828
angles: 90.00 90.00 90.00
With the nearest neighbours (Å) after each atom.
Atoms (fractional coordinates):
1 Li 0.1853 0.3147 0.0000  6 Mo 2.49-2.64, 2 Li 2.68
2 Li 0.3147 0.8147 0.0000  6 Mo 2.49-2.64, 2 Li 2.68
3 Li 0.6853 0.1853 0.0000  6 Mo 2.49-2.64, 2 Li 2.68
4 Li 0.8147 0.6853 0.0000  6 Mo 2.49-2.64, 2 Li 2.68
5 Be 0.0000 0.0000 0.5000  2 Be 2.68, 4 Mo 2.97
6 Be 0.5000 0.5000 0.5000  2 Be 2.68, 4 Mo 2.97
7 Mo 0.1141 0.6141 0.5000  1 Mo 2.38, 6 Li 2.49-2.64
8 Mo 0.3859 0.1141 0.5000  1 Mo 2.38, 6 Li 2.49-2.64
9 Mo 0.6141 0.8859 0.5000  1 Mo 2.38, 6 Li 2.49-2.64
10 Mo 0.8859 0.3859 0.5000  1 Mo 2.38, 6 Li 2.49-2.64

The following is a GGA-PBE calculation of an optimized crystal structure of Rb3Pm3AlS8, from Alexandria via LeMat-Bulk.

Formation energy from raw total energies ... -35.1 kcal/mol of atoms
VASP energy ... -5.114 eV per atom
Calculated density ... 3628 kg/m3

abc: 8.0967 8.0967 9.1505
angles: 116.30 116.30 59.95
With the nearest neighbours (Å) after each atom.
Atoms (fractional coordinates):
1 Rb 0.0000 0.0000 0.0000  6 S 3.33-3.37
2 Rb 0.0000 0.5000 0.0000  6 S 3.33-3.37
3 Rb 0.5000 0.0000 0.0000  6 S 3.33-3.37
4 Pm 0.0000 0.5000 0.5000  6 S 2.81-2.84
5 Pm 0.5000 0.0000 0.5000  6 S 2.81-2.84
6 Pm 0.5000 0.5000 0.5000  6 S 2.81-2.84
7 Al 0.0000 0.0000 0.5000  6 S 2.52
8 S 0.2086 0.2086 0.6783  1 Al 2.52
9 S 0.2088 0.7610 0.6785  1 Al 2.52
10 S 0.2390 0.7912 0.3215  1 Al 2.52
11 S 0.2674 0.2674 0.3024  3 Pm 2.81
12 S 0.7326 0.7326 0.6976  3 Pm 2.81
13 S 0.7610 0.2088 0.6785  1 Al 2.52
14 S 0.7912 0.2390 0.3215  1 Al 2.52
15 S 0.7914 0.7914 0.3217  1 Al 2.52

The following is a GGA-PBE calculation of an optimized crystal structure of MgMo2Br, from Alexandria via LeMat-Bulk.

E above lowest polymorph ... 262 kJ/mol of formula units
Formation energy from raw total energies ... 18.6 kcal/mol of atoms
VASP energy ... -5.426 eV per atom
Calculated density ... 6900 kg/m3

abc: 2.8803 2.8803 9.1297
angles: 90.00 90.00 109.82
With the nearest neighbours (Å) after each atom.
Atoms (fractional coordinates):
1 Mg 0.0000 0.0000 0.0000  4 Mo 2.87, 4 Mg 2.88
2 Mo 0.5000 0.5000 0.2571  2 Br 2.77, 2 Mg 2.87, 4 Mo 2.88
3 Mo 0.5000 0.5000 0.7429  2 Br 2.77, 2 Mg 2.87, 4 Mo 2.88
4 Br 0.0000 0.0000 0.5000  4 Mo 2.77, 4 Br 2.88

The following is a GGA-PBE calculation of an optimized crystal structure of TlSiAu, from Alexandria via LeMat-Bulk.

Formation energy from raw total energies ... 1.5 kcal/mol of atoms
VASP energy ... -3.625 eV per atom
Calculated density ... 10254 kg/m3

abc: 4.1357 4.5338 7.4299
angles: 86.74 89.93 89.94
With the nearest neighbours (Å) after each atom.
Atoms (fractional coordinates):
1 Tl 0.0000 0.0000 0.0000  2 Au 3.01, 1 Si 3.28
2 Tl 0.4998 0.4951 0.7618  2 Si 3.00, 2 Au 3.06-3.10
3 Si 0.0001 0.4185 0.3456  1 Si 2.38, 4 Au 2.55-2.62
4 Si 0.0001 0.8234 0.5359  1 Si 2.38, 2 Au 2.48
5 Au 0.5000 0.0913 0.4393  4 Si 2.48-2.62
6 Au 0.5005 0.5876 0.1666  2 Si 2.55

The following is a GGA-PBE calculation of an optimized crystal structure of La6InAg5, from Alexandria via LeMat-Bulk.

E_form ... -0.30 eV/atom
VASP energy ... -4.179 eV per atom
Calculated density ... 7219 kg/m3

abc: 5.4034 7.7892 8.5612
angles: 90.00 108.26 90.00
With the nearest neighbours (Å) after each atom.
Atoms (fractional coordinates):
1 La 0.0000 0.2398 0.0000  6 Ag 3.27-3.29, 2 In 3.38
2 La 0.0000 0.7602 0.0000  6 Ag 3.27-3.29, 2 In 3.38
3 La 0.3306 0.2498 0.6588  7 Ag 3.29-3.40, 1 In 3.39
4 La 0.3306 0.7502 0.6588  7 Ag 3.29-3.40, 1 In 3.39
5 La 0.6694 0.2498 0.3412  7 Ag 3.29-3.40, 1 In 3.39
6 La 0.6694 0.7502 0.3412  7 Ag 3.29-3.40, 1 In 3.39
7 In 0.5000 0.5000 0.0000  8 La 3.38-3.39, 4 Ag 3.72-3.73
8 Ag 0.1556 0.5000 0.3154  8 La 3.27-3.40
9 Ag 0.1638 0.0000 0.3325  8 La 3.29-3.34
10 Ag 0.5000 0.0000 0.0000  8 La 3.28-3.39
11 Ag 0.8362 0.0000 0.6675  8 La 3.29-3.34
12 Ag 0.8444 0.5000 0.6846  8 La 3.27-3.40

The following is a GGA-PBE calculation of an optimized crystal structure of KSrTiRe2, from Alexandria via LeMat-Bulk.

E_form ... 1.45 eV/atom
VASP energy ... -5.662 eV per atom
Calculated density ... 6935 kg/m3

abc: 4.7173 4.7173 5.8858
angles: 90.00 90.00 90.00
With the nearest neighbours (Å) after each atom.
Atoms (fractional coordinates):
1 K 0.0000 0.0000 0.0000  4 Sr 3.34
2 Sr 0.5000 0.5000 0.0000  2 Ti 2.94
3 Ti 0.5000 0.5000 0.5000  4 Re 2.36
4 Re 0.0000 0.5000 0.5000  2 Ti 2.36
5 Re 0.5000 0.0000 0.5000  2 Ti 2.36

The following is a GGA-PBE calculation of an optimized crystal structure of ErTm2Sc, from Alexandria via LeMat-Bulk.

E above lowest polymorph ... 8 kJ/mol of formula units
E_form ... 0.04 eV/atom
VASP energy ... -4.915 eV per atom
Calculated density ... 7959 kg/m3

abc: 4.8574 4.8574 4.8640
angles: 90.00 90.00 90.00
With the nearest neighbours (Å) after each atom.
Atoms (fractional coordinates):
1 Er 0.0000 0.0000 0.0000  4 Sc 3.43, 8 Tm 3.44
2 Tm 0.0000 0.5000 0.5000  4 Tm 3.43, 4 Sc 3.44, 4 Er 3.44
3 Tm 0.5000 0.0000 0.5000  4 Tm 3.43, 4 Sc 3.44, 4 Er 3.44
4 Sc 0.5000 0.5000 0.0000  4 Er 3.43, 8 Tm 3.44

The following is a GGA-PBE calculation of an optimized crystal structure of Tb2Mg2In, from Alexandria via LeMat-Bulk.

E_form ... -0.11 eV/atom
VASP energy ... -3.146 eV per atom
Calculated density ... 6224 kg/m3

abc: 6.2038 6.2038 6.2038
angles: 49.87 49.87 49.87
With the nearest neighbours (Å) after each atom.
Atoms (fractional coordinates):
1 Tb 0.2164 0.2164 0.2164  4 Mg 3.09-3.15, 3 Tb 3.43
2 Tb 0.7836 0.7836 0.7836  4 Mg 3.09-3.15, 3 Tb 3.43
3 Mg 0.4102 0.4102 0.4102  1 Mg 2.92, 4 Tb 3.09-3.15, 3 In 3.27
4 Mg 0.5898 0.5898 0.5898  1 Mg 2.92, 4 Tb 3.09-3.15, 3 In 3.27
5 In 0.0000 0.0000 0.0000  6 Mg 3.27, 8 Tb 3.52-3.57

> What is the VASP energy in the tenth record?

-5.662 eV per atom

Repeat the seventh record exactly.
The following is a GGA-PBE calculation of an optimized crystal structure of MgMo2Br, from Alexandria via LeMat-Bulk.

E above lowest polymorph ... 262 kJ/mol of formula units
Formation energy from raw total energies ... 18.6 kcal/mol of atoms
VASP energy ... -5.426 eV per atom
Calculated density ... 6900 kg/m3

abc: 2.8803 2.8803 9.1297
angles: 90.00 90.00 109.82
With the nearest neighbours (Å) after each atom.
Atoms (fractional coordinates):
1 Mg 0.0000 0.0000 0.0000  4 Mo 2.87, 4 Mg 2.88
2 Mo 0.5000 0.5000 0.2571  2 Br 2.77, 2 Mg 2.87, 4 Mo 2.88
3 Mo 0.5000 0.5000 0.7429  2 Br 2.77, 2 Mg 2.87, 4 Mo 2.88
4 Br 0.0000 0.0000 0.5000  4 Mo 2.77, 4 Br 2.88